a.
DFT (SCAN) results for Sr2Ag at its PBEsol-relaxed geometry.

```
data_Sr2Ag
_chemical_formula_sum 'Sr8 Ag4'
_cell_length_a 7.764
_cell_length_b 7.764
_cell_length_c 7.764
_cell_angle_alpha 90.00
_cell_angle_beta 90.00
_cell_angle_gamma 90.00
_space_group_name_H-M_alt 'P a -3'
_space_group_IT_number 205
_space_group_name_Hall '-P 2ac 2ab 3'
loop_
_atom_site_label
_atom_site_type_symbol
_atom_site_fract_x
_atom_site_fract_y
_atom_site_fract_z
Sr1 Sr 0.160 0.160 0.160
Ag1 Ag 0.000 0.000 0.500
```



b.
DFT (SCAN) results for Sr2Ag at its PBEsol-relaxed geometry.

```
data_Sr2Ag
_chemical_formula_sum 'Sr8 Ag4'
_cell_length_a 7.794
_cell_length_b 7.794
_cell_length_c 7.114
_cell_angle_alpha 90.00
_cell_angle_beta 90.00
_cell_angle_gamma 90.00
_space_group_name_H-M_alt 'I 4/m c m'
_space_group_IT_number 140
_space_group_name_Hall '-I 4 2c'
loop_
_atom_site_label
_atom_site_type_symbol
_atom_site_fract_x
_atom_site_fract_y
_atom_site_fract_z
Sr1 Sr 0.180 0.320 0.000
Ag1 Ag 0.000 0.000 0.250
```



c.
DFT (SCAN) results for Sr2Ag at its PBEsol-relaxed geometry.

```
data_Sr2Ag
_chemical_formula_sum 'Sr8 Ag4'
_cell_length_a 3.922
_cell_length_b 19.041
_cell_length_c 5.765
_cell_angle_alpha 90.00
_cell_angle_beta 90.00
_cell_angle_gamma 90.00
_space_group_name_H-M_alt 'C m c m'
_space_group_IT_number 63
_space_group_name_Hall '-C 2c 2'
loop_
_atom_site_label
_atom_site_type_symbol
_atom_site_fract_x
_atom_site_fract_y
_atom_site_fract_z
Sr1 Sr 0.000 0.070 0.250
Sr2 Sr 0.000 0.202 0.750
Ag1 Ag 0.000 0.433 0.250
```



Of them, b has the highest stability.



a.
DFT (SCAN) results for SrTaAg2 at its PBEsol-relaxed geometry.

```
data_SrTaAg2
_chemical_formula_sum 'Sr3 Ta3 Ag6'
_cell_length_a 3.0534
_cell_length_b 3.0534
_cell_length_c 30.2218
_cell_angle_alpha 90.00
_cell_angle_beta 90.00
_cell_angle_gamma 120.00
_space_group_name_H-M_alt 'R -3 m'
_space_group_IT_number 166
_space_group_name_Hall '-R 3 2"'
loop_
_atom_site_label
_atom_site_type_symbol
_atom_site_fract_x
_atom_site_fract_y
_atom_site_fract_z
Sr1 Sr 0.0000 0.0000 0.0000
Ta1 Ta 0.0000 0.0000 0.5000
Ag1 Ag 0.0000 0.0000 0.2428
```



b.
DFT (SCAN) results for SrTaAg2 at its PBEsol-relaxed geometry.

```
data_SrTaAg2
_chemical_formula_sum 'Sr2 Ta2 Ag4'
_cell_length_a 2.946
_cell_length_b 5.178
_cell_length_c 10.890
_cell_angle_alpha 90.00
_cell_angle_beta 90.00
_cell_angle_gamma 90.00
_space_group_name_H-M_alt 'I m m 2'
_space_group_IT_number 44
_space_group_name_Hall 'I 2 -2'
loop_
_atom_site_label
_atom_site_type_symbol
_atom_site_fract_x
_atom_site_fract_y
_atom_site_fract_z
Sr1 Sr 0.000 0.000 0.000
Ta1 Ta 0.000 0.500 0.788
Ag1 Ag 0.000 0.000 0.516
Ag2 Ag 0.000 0.500 0.235
```



Of them, b has the highest stability.



a.
DFT (SCAN) results for SrTcAg2 at its PBEsol-relaxed geometry.

```
data_SrTcAg2
_chemical_formula_sum 'Sr1 Tc1 Ag2'
_cell_length_a 2.788
_cell_length_b 4.759
_cell_length_c 5.928
_cell_angle_alpha 90.00
_cell_angle_beta 102.95
_cell_angle_gamma 90.00
_space_group_name_H-M_alt 'P 1 m 1'
_space_group_IT_number 6
_space_group_name_Hall 'P -2y'
loop_
_atom_site_label
_atom_site_type_symbol
_atom_site_fract_x
_atom_site_fract_y
_atom_site_fract_z
Sr1 Sr 0.000 0.000 0.000
Tc1 Tc 0.680 0.500 0.332
Ag1 Ag 0.271 0.000 0.491
Ag2 Ag 0.380 0.500 0.753
```



b.
DFT (SCAN) results for SrTcAg2 at its PBEsol-relaxed geometry.

```
data_SrTcAg2
_chemical_formula_sum 'Sr2 Tc2 Ag4'
_cell_length_a 9.867
_cell_length_b 2.792
_cell_length_c 5.752
_cell_angle_alpha 90.00
_cell_angle_beta 97.41
_cell_angle_gamma 90.00
_space_group_name_H-M_alt 'C 1 2/m 1'
_space_group_IT_number 12
_space_group_name_Hall '-C 2y'
loop_
_atom_site_label
_atom_site_type_symbol
_atom_site_fract_x
_atom_site_fract_y
_atom_site_fract_z
Sr1 Sr 0.000 0.000 0.000
Tc1 Tc 0.000 0.500 0.500
Ag1 Ag 0.237 0.000 0.702
```



Of them, a has the highest stability.



a.
DFT (SCAN) results for SrAg2W at its PBEsol-relaxed geometry.

```
data_SrAg2W
_chemical_formula_sum 'Sr1 Ag2 W1'
_cell_length_a 2.820
_cell_length_b 4.810
_cell_length_c 5.997
_cell_angle_alpha 90.00
_cell_angle_beta 103.50
_cell_angle_gamma 90.00
_space_group_name_H-M_alt 'P 1 m 1'
_space_group_IT_number 6
_space_group_name_Hall 'P -2y'
loop_
_atom_site_label
_atom_site_type_symbol
_atom_site_fract_x
_atom_site_fract_y
_atom_site_fract_z
Sr1 Sr 0.000 0.000 0.000
Ag1 Ag 0.251 0.000 0.497
Ag2 Ag 0.386 0.500 0.773
W1 W 0.677 0.500 0.351
```



b.
DFT (SCAN) results for SrAg2W at its PBEsol-relaxed geometry.

```
data_SrAg2W
_chemical_formula_sum 'Sr3 Ag6 W3'
_cell_length_a 2.9387
_cell_length_b 2.9387
_cell_length_c 30.6002
_cell_angle_alpha 90.00
_cell_angle_beta 90.00
_cell_angle_gamma 120.00
_space_group_name_H-M_alt 'R -3 m'
_space_group_IT_number 166
_space_group_name_Hall '-R 3 2"'
loop_
_atom_site_label
_atom_site_type_symbol
_atom_site_fract_x
_atom_site_fract_y
_atom_site_fract_z
Sr1 Sr 0.0000 0.0000 0.0000
Ag1 Ag 0.0000 0.0000 0.2422
W1 W 0.0000 0.0000 0.5000
```



c.
DFT (SCAN) results for SrAg2W at its PBEsol-relaxed geometry.

```
data_SrAg2W
_chemical_formula_sum 'Sr1 Ag2 W1'
_cell_length_a 2.838
_cell_length_b 4.094
_cell_length_c 6.972
_cell_angle_alpha 90.00
_cell_angle_beta 90.00
_cell_angle_gamma 90.00
_space_group_name_H-M_alt 'P m m m'
_space_group_IT_number 47
_space_group_name_Hall '-P 2 2'
loop_
_atom_site_label
_atom_site_type_symbol
_atom_site_fract_x
_atom_site_fract_y
_atom_site_fract_z
Sr1 Sr 0.000 0.000 0.000
Ag1 Ag 0.500 0.500 0.304
W1 W 0.000 0.000 0.500
```



d.
DFT (SCAN) results for SrAg2W at its PBEsol-relaxed geometry.

```
data_SrAg2W
_chemical_formula_sum 'Sr1 Ag2 W1'
_cell_length_a 2.861
_cell_length_b 4.133
_cell_length_c 6.903
_cell_angle_alpha 90.00
_cell_angle_beta 90.00
_cell_angle_gamma 90.00
_space_group_name_H-M_alt 'P m m 2'
_space_group_IT_number 25
_space_group_name_Hall 'P 2 -2'
loop_
_atom_site_label
_atom_site_type_symbol
_atom_site_fract_x
_atom_site_fract_y
_atom_site_fract_z
Sr1 Sr 0.000 0.000 0.000
Ag1 Ag 0.000 0.000 0.493
Ag2 Ag 0.500 0.500 0.711
W1 W 0.500 0.500 0.315
```



Of them, c has the highest stability.



a.
DFT (SCAN) results for Sr2AgW at its PBEsol-relaxed geometry.

```
data_Sr2AgW
_chemical_formula_sum 'Sr2 Ag1 W1'
_cell_length_a 3.064
_cell_length_b 5.441
_cell_length_c 5.873
_cell_angle_alpha 90.00
_cell_angle_beta 90.00
_cell_angle_gamma 90.00
_space_group_name_H-M_alt 'P m m 2'
_space_group_IT_number 25
_space_group_name_Hall 'P 2 -2'
loop_
_atom_site_label
_atom_site_type_symbol
_atom_site_fract_x
_atom_site_fract_y
_atom_site_fract_z
Sr1 Sr 0.000 0.000 0.000
Sr2 Sr 0.000 0.500 0.378
Ag1 Ag 0.500 0.000 0.541
W1 W 0.500 0.500 0.855
```



b.
DFT (SCAN) results for Sr2AgW at its PBEsol-relaxed geometry.

```
data_Sr2AgW
_chemical_formula_sum 'Sr4 Ag2 W2'
_cell_length_a 12.057
_cell_length_b 3.036
_cell_length_c 5.758
_cell_angle_alpha 90.00
_cell_angle_beta 107.93
_cell_angle_gamma 90.00
_space_group_name_H-M_alt 'C 1 m 1'
_space_group_IT_number 8
_space_group_name_Hall 'C -2y'
loop_
_atom_site_label
_atom_site_type_symbol
_atom_site_fract_x
_atom_site_fract_y
_atom_site_fract_z
Sr1 Sr 0.000 0.000 0.000
Sr2 Sr 0.197 0.000 0.612
Ag1 Ag 0.438 0.000 0.463
W1 W 0.261 0.500 0.154
```



Of them, b has the highest stability.



a.
DFT (SCAN) results for SrY2Ag at its PBEsol-relaxed geometry.

```
data_SrY2Ag
_chemical_formula_sum 'Sr1 Y2 Ag1'
_cell_length_a 3.665
_cell_length_b 3.665
_cell_length_c 9.033
_cell_angle_alpha 90.00
_cell_angle_beta 90.00
_cell_angle_gamma 90.00
_space_group_name_H-M_alt 'P 4 m m'
_space_group_IT_number 99
_space_group_name_Hall 'P 4 -2'
loop_
_atom_site_label
_atom_site_type_symbol
_atom_site_fract_x
_atom_site_fract_y
_atom_site_fract_z
Sr1 Sr 0.000 0.000 0.000
Y1 Y 0.000 0.000 0.588
Y2 Y 0.500 0.500 0.331
Ag1 Ag 0.500 0.500 0.764
```



b.
DFT (SCAN) results for SrY2Ag at its PBEsol-relaxed geometry.

```
data_SrY2Ag
_chemical_formula_sum 'Sr1 Y2 Ag1'
_cell_length_a 4.671
_cell_length_b 4.671
_cell_length_c 5.339
_cell_angle_alpha 90.00
_cell_angle_beta 90.00
_cell_angle_gamma 90.00
_space_group_name_H-M_alt 'P 4/m m m'
_space_group_IT_number 123
_space_group_name_Hall '-P 4 2'
loop_
_atom_site_label
_atom_site_type_symbol
_atom_site_fract_x
_atom_site_fract_y
_atom_site_fract_z
Sr1 Sr 0.000 0.000 0.000
Y1 Y 0.000 0.500 0.500
Ag1 Ag 0.500 0.500 0.000
```



Of them, a has the highest stability.



a.
DFT (SCAN) results for Ta3Ag at its PBEsol-relaxed geometry.

```
data_Ta3Ag
_chemical_formula_sum 'Ta9 Ag3'
_cell_length_a 9.3245
_cell_length_b 9.3245
_cell_length_c 2.7496
_cell_angle_alpha 90.00
_cell_angle_beta 90.00
_cell_angle_gamma 120.00
_space_group_name_H-M_alt 'R -3 m'
_space_group_IT_number 166
_space_group_name_Hall '-R 3 2"'
loop_
_atom_site_label
_atom_site_type_symbol
_atom_site_fract_x
_atom_site_fract_y
_atom_site_fract_z
Ta1 Ta 0.0000 0.5000 0.0000
Ag1 Ag 0.0000 0.0000 0.0000
```



b.
DFT (SCAN) results for Ta3Ag at its PBEsol-relaxed geometry.

```
data_Ta3Ag
_chemical_formula_sum 'Ta3 Ag1'
_cell_length_a 2.736
_cell_length_b 4.705
_cell_length_c 5.465
_cell_angle_alpha 90.00
_cell_angle_beta 99.32
_cell_angle_gamma 90.00
_space_group_name_H-M_alt 'P 1 2/m 1'
_space_group_IT_number 10
_space_group_name_Hall '-P 2y'
loop_
_atom_site_label
_atom_site_type_symbol
_atom_site_fract_x
_atom_site_fract_y
_atom_site_fract_z
Ta1 Ta 0.000 0.000 0.000
Ta2 Ta 0.248 0.500 0.761
Ag1 Ag 0.500 0.000 0.500
```



c.
DFT (SCAN) results for Ta3Ag at its PBEsol-relaxed geometry.

```
data_Ta3Ag
_chemical_formula_sum 'Ta6 Ag2'
_cell_length_a 4.078
_cell_length_b 4.078
_cell_length_c 8.372
_cell_angle_alpha 90.00
_cell_angle_beta 90.00
_cell_angle_gamma 90.00
_space_group_name_H-M_alt 'I 4/m m m'
_space_group_IT_number 139
_space_group_name_Hall '-I 4 2'
loop_
_atom_site_label
_atom_site_type_symbol
_atom_site_fract_x
_atom_site_fract_y
_atom_site_fract_z
Ta1 Ta 0.000 0.000 0.000
Ta2 Ta 0.000 0.500 0.250
Ag1 Ag 0.000 0.000 0.500
```



d.
DFT (SCAN) results for Ta3Ag at its PBEsol-relaxed geometry.

```
data_Ta3Ag
_chemical_formula_sum 'Ta3 Ag1'
_cell_length_a 4.375
_cell_length_b 4.375
_cell_length_c 3.595
_cell_angle_alpha 90.00
_cell_angle_beta 90.00
_cell_angle_gamma 90.00
_space_group_name_H-M_alt 'P 4/m m m'
_space_group_IT_number 123
_space_group_name_Hall '-P 4 2'
loop_
_atom_site_label
_atom_site_type_symbol
_atom_site_fract_x
_atom_site_fract_y
_atom_site_fract_z
Ta1 Ta 0.000 0.000 0.000
Ta2 Ta 0.000 0.500 0.500
Ag1 Ag 0.500 0.500 0.000
```



Of them, a has the highest stability.



a.
DFT (SCAN) results for TaTl2Ag at its PBEsol-relaxed geometry.

```
data_TaTl2Ag
_chemical_formula_sum 'Ta2 Tl4 Ag2'
_cell_length_a 4.273
_cell_length_b 4.273
_cell_length_c 8.865
_cell_angle_alpha 90.00
_cell_angle_beta 90.00
_cell_angle_gamma 90.00
_space_group_name_H-M_alt 'I 4/m m m'
_space_group_IT_number 139
_space_group_name_Hall '-I 4 2'
loop_
_atom_site_label
_atom_site_type_symbol
_atom_site_fract_x
_atom_site_fract_y
_atom_site_fract_z
Ta1 Ta 0.000 0.000 0.000
Tl1 Tl 0.000 0.500 0.250
Ag1 Ag 0.000 0.000 0.500
```



b.
DFT (SCAN) results for TaTl2Ag at its PBEsol-relaxed geometry.

```
data_TaTl2Ag
_chemical_formula_sum 'Ta2 Tl4 Ag2'
_cell_length_a 9.627
_cell_length_b 3.030
_cell_length_c 5.715
_cell_angle_alpha 90.00
_cell_angle_beta 101.86
_cell_angle_gamma 90.00
_space_group_name_H-M_alt 'C 1 2/m 1'
_space_group_IT_number 12
_space_group_name_Hall '-C 2y'
loop_
_atom_site_label
_atom_site_type_symbol
_atom_site_fract_x
_atom_site_fract_y
_atom_site_fract_z
Ta1 Ta 0.000 0.000 0.000
Tl1 Tl 0.246 0.000 0.752
Ag1 Ag 0.000 0.500 0.500
```



Of them, b has the highest stability.